VASP calculation (PBE-GGA) on a relaxed Pm2HoScTl2 crystal.

* formation enthalpy at 0 K: -0.26 eV per atom
* total magnetic moment: 0.0 μB/f.u.
* space-group type: Pmc2_1

a = 4.9919 Å, b = 9.9566 Å, c = 6.9157 Å
α = 90.00°, β = 90.00°, γ = 90.00°
With the nearest neighbours (Å) after each atom.
Fractional coordinates of all 12 atoms:
Pm1 0.0000 0.0474 0.0000  5 Tl 3.25-3.57, 4 Pm 3.45-3.58
Pm2 0.0000 0.9526 0.5000  5 Tl 3.25-3.57, 4 Pm 3.45-3.58
Pm3 0.5000 0.1886 0.2777  4 Tl 3.21-3.37, 2 Pm 3.45
Pm4 0.5000 0.8114 0.7777  4 Tl 3.21-3.37, 2 Pm 3.45
Ho1 0.5000 0.4553 0.8995  5 Tl 3.20-3.35, 2 Sc 3.51, 2 Ho 3.57
Ho2 0.5000 0.5447 0.3995  5 Tl 3.20-3.35, 2 Sc 3.51, 2 Ho 3.57
Sc1 0.0000 0.3114 0.6098  4 Tl 3.04-3.13
Sc2 0.0000 0.6886 0.1098  4 Tl 3.04-3.13
Tl1 0.0000 0.3860 0.1707  2 Sc 3.04-3.13, 4 Ho 3.20-3.35, 2 Pm 3.26
Tl2 0.0000 0.6140 0.6707  2 Sc 3.04-3.13, 4 Ho 3.20-3.35, 2 Pm 3.26
Tl3 0.5000 0.1486 0.7376  2 Sc 3.10, 4 Pm 3.21-3.37, 1 Ho 3.25
Tl4 0.5000 0.8514 0.2376  2 Sc 3.10, 4 Pm 3.21-3.37, 1 Ho 3.25

VASP calculation (PBE-GGA) on a relaxed PmHo2ScTl2 crystal.

* formation enthalpy at 0 K: -0.26 eV per atom
* total magnetic moment: 0.0 μB/f.u.
* space-group type: Pmc2_1

a = 4.9807 Å, b = 9.8020 Å, c = 6.9180 Å
α = 90.00°, β = 90.00°, γ = 90.00°
With the nearest neighbours (Å) after each atom.
Fractional coordinates of all 12 atoms:
Pm1 0.0000 0.0482 0.0000  5 Tl 3.23-3.39, 2 Sc 3.51, 2 Pm 3.59
Pm2 0.0000 0.9518 0.5000  5 Tl 3.23-3.39, 2 Sc 3.51, 2 Pm 3.59
Ho1 0.0000 0.3143 0.3918  4 Tl 3.13-3.21, 2 Ho 3.48
Ho2 0.0000 0.6857 0.8918  4 Tl 3.13-3.21, 2 Ho 3.48
Ho3 0.5000 0.4505 0.0986  5 Tl 3.19-3.50, 2 Ho 3.48, 1 Sc 3.53
Ho4 0.5000 0.5495 0.5986  5 Tl 3.19-3.50, 2 Ho 3.48, 1 Sc 3.53
Sc1 0.5000 0.1982 0.7121  4 Tl 3.10-3.20
Sc2 0.5000 0.8018 0.2121  4 Tl 3.10-3.20
Tl1 0.0000 0.3648 0.8380  2 Sc 3.10, 4 Ho 3.13-3.19, 1 Pm 3.30
Tl2 0.0000 0.6352 0.3380  2 Sc 3.10, 4 Ho 3.13-3.19, 1 Pm 3.30
Tl3 0.5000 0.1248 0.2761  2 Sc 3.10-3.20, 3 Ho 3.21-3.42, 4 Pm 3.23-3.39
Tl4 0.5000 0.8752 0.7761  2 Sc 3.10-3.20, 3 Ho 3.21-3.42, 4 Pm 3.23-3.39

VASP calculation (PBE-GGA) on a relaxed PmHo2ScTl4 crystal.

* formation enthalpy at 0 K: -0.31 eV per atom
* total magnetic moment: 0.0 μB/f.u.
* space-group type: R-3m

a = 9.2729 Å, b = 9.2729 Å, c = 9.2729 Å
α = 33.33°, β = 33.33°, γ = 33.33°
With the nearest neighbours (Å) after each atom.
Fractional coordinates of all 8 atoms:
Pm1 0.0000 0.0000 0.0000  8 Tl 3.29-3.35
Ho1 0.2484 0.2484 0.2484  8 Tl 3.18-3.40
Ho2 0.7516 0.7516 0.7516  8 Tl 3.18-3.40
Sc1 0.5000 0.5000 0.5000  8 Tl 3.20-3.24
Tl1 0.1274 0.1274 0.1274  4 Ho 3.18-3.27, 3 Sc 3.24, 1 Pm 3.35
Tl2 0.3779 0.3779 0.3779  1 Sc 3.20, 4 Ho 3.25-3.40, 3 Pm 3.29
Tl3 0.6221 0.6221 0.6221  1 Sc 3.20, 4 Ho 3.25-3.40, 3 Pm 3.29
Tl4 0.8726 0.8726 0.8726  4 Ho 3.18-3.27, 3 Sc 3.24, 1 Pm 3.35

VASP calculation (PBE-GGA) on a relaxed PmHoSc2Tl4 crystal.

* formation enthalpy at 0 K: -0.29 eV per atom
* total magnetic moment: 0.0 μB/f.u.
* space-group type: R-3m

a = 9.1388 Å, b = 9.1388 Å, c = 9.1388 Å
α = 33.48°, β = 33.48°, γ = 33.48°
With the nearest neighbours (Å) after each atom.
Fractional coordinates of all 8 atoms:
Pm1 0.0000 0.0000 0.0000  8 Tl 3.24-3.27
Ho1 0.5000 0.5000 0.5000  8 Tl 3.19-3.21
Sc1 0.2497 0.2497 0.2497  8 Tl 3.19-3.28
Sc2 0.7503 0.7503 0.7503  8 Tl 3.19-3.28
Tl1 0.1265 0.1265 0.1265  4 Sc 3.19-3.24, 3 Ho 3.21, 1 Pm 3.27
Tl2 0.3766 0.3766 0.3766  1 Ho 3.19, 4 Sc 3.21-3.28, 3 Pm 3.24
Tl3 0.6234 0.6234 0.6234  1 Ho 3.19, 4 Sc 3.21-3.28, 3 Pm 3.24
Tl4 0.8735 0.8735 0.8735  4 Sc 3.19-3.24, 3 Ho 3.21, 1 Pm 3.27

| no. | total energy (eV per atom) |
| --- | --- |
| 1 | -4.45 |
| 2 | -4.42 |
| 3 | -4.02 |
| 4 | -4.23 |